Entry 1:
The following is a DFT calculation (PBE) of a geometry-optimized ScSiHg structure.

Cell and atoms, written as CIF:
```
data_ScSiHg
_chemical_formula_sum 'Sc4 Si4 Hg4'
_cell_length_a 6.331
_cell_length_b 6.331
_cell_length_c 6.331
_cell_angle_alpha 90.00
_cell_angle_beta 90.00
_cell_angle_gamma 90.00
_space_group_name_H-M_alt 'F -4 3 m'
_space_group_IT_number 216
_space_group_name_Hall 'F -4 2 3'
loop_
_atom_site_label
_atom_site_type_symbol
_atom_site_fract_x
_atom_site_fract_y
_atom_site_fract_z
Sc1 Sc 0.000 0.000 0.000
Si1 Si 0.250 0.250 0.750
Hg1 Hg 0.000 0.000 0.500
```

Output
ρ   7.2 g/cm3
Total energy   -4.1888 eV per atom

---

Entry 2:
The following is a DFT calculation (PBE) of a geometry-optimized La2MgAs structure.

Cell and atoms, written as CIF:
```
data_La2MgAs
_chemical_formula_sum 'La6 Mg3 As3'
_cell_length_a 4.2475
_cell_length_b 4.2475
_cell_length_c 25.4877
_cell_angle_alpha 90.00
_cell_angle_beta 90.00
_cell_angle_gamma 120.00
_space_group_name_H-M_alt 'R -3 m'
_space_group_IT_number 166
_space_group_name_Hall '-R 3 2"'
loop_
_atom_site_label
_atom_site_type_symbol
_atom_site_fract_x
_atom_site_fract_y
_atom_site_fract_z
La1 La 0.0000 0.0000 0.2347
Mg1 Mg 0.0000 0.0000 0.0000
As1 As 0.0000 0.0000 0.5000
```

Output
ρ   4.7 g/cm3
Calculated formation energy   -0.6897 eV per atom

---

Entry 3:
The following is a DFT calculation (PBE) of a geometry-optimized Hf3VIr structure.

Cell and atoms, written as CIF:
```
data_Hf3VIr
_chemical_formula_sum 'Hf3 V1 Ir1'
_cell_length_a 4.709
_cell_length_b 4.709
_cell_length_c 4.709
_cell_angle_alpha 90.00
_cell_angle_beta 90.00
_cell_angle_gamma 90.00
_space_group_name_H-M_alt 'P m -3 m'
_space_group_IT_number 221
_space_group_name_Hall '-P 4 2 3'
loop_
_atom_site_label
_atom_site_type_symbol
_atom_site_fract_x
_atom_site_fract_y
_atom_site_fract_z
Hf1 Hf 0.000 0.000 0.500
V1 V 0.000 0.000 0.000
Ir1 Ir 0.500 0.500 0.500
```

Output
ρ   12.4 g/cm3
Calculated formation energy   0.7771 eV per atom

---

Entry 4:
The following is a DFT calculation (PBE) of a geometry-optimized Ba4Na2Pt structure.

Cell and atoms, written as CIF:
```
data_Ba4Na2Pt
_chemical_formula_sum 'Ba8 Na4 Pt2'
_cell_length_a 6.198
_cell_length_b 6.198
_cell_length_c 19.704
_cell_angle_alpha 90.00
_cell_angle_beta 90.00
_cell_angle_gamma 90.00
_space_group_name_H-M_alt 'I 4/m m m'
_space_group_IT_number 139
_space_group_name_Hall '-I 4 2'
loop_
_atom_site_label
_atom_site_type_symbol
_atom_site_fract_x
_atom_site_fract_y
_atom_site_fract_z
Ba1 Ba 0.000 0.000 0.163
Ba2 Ba 0.000 0.500 0.000
Na1 Na 0.000 0.000 0.366
Pt1 Pt 0.000 0.000 0.000
```

Output
ρ   3.5 g/cm3
Calculated formation energy   -0.2382 eV per atom

---

Entry 5:
The following is a DFT calculation (PBE) of a geometry-optimized MnPIr2 structure.

Cell and atoms, written as CIF:
```
data_MnPIr2
_chemical_formula_sum 'Mn1 P1 Ir2'
_cell_length_a 2.871
_cell_length_b 3.828
_cell_length_c 5.119
_cell_angle_alpha 90.00
_cell_angle_beta 90.00
_cell_angle_gamma 90.00
_space_group_name_H-M_alt 'P m m 2'
_space_group_IT_number 25
loop_
_space_group_symop_operation_xyz
'x,y,z'
'-x,-y,z'
'-x,y,z'
'x,-y,z'
loop_
_atom_site_label
_atom_site_type_symbol
_atom_site_fract_x
_atom_site_fract_y
_atom_site_fract_z
Mn1 Mn 0.000 0.000 0.000
P1 P 0.500 0.500 0.335
Ir1 Ir 0.000 0.000 0.490
Ir2 Ir 0.500 0.500 0.827
```

Output
ρ   13.9 g/cm3
Calculated formation energy   -0.0303 eV per atom

---

Entry 6:
The following is a DFT calculation (PBE) of a geometry-optimized Pm2Pr5Bi4 structure.

Cell and atoms, written as CIF:
```
data_Pm2Pr5Bi4
_chemical_formula_sum 'Pm4 Pr10 Bi8'
_cell_length_a 25.527
_cell_length_b 3.576
_cell_length_c 8.546
_cell_angle_alpha 90.00
_cell_angle_beta 91.64
_cell_angle_gamma 90.00
_space_group_name_H-M_alt 'C 1 2/m 1'
_space_group_IT_number 12
loop_
_space_group_symop_operation_xyz
'x,y,z'
'-x,-y,-z'
'-x,y,-z'
'x,-y,z'
'x+1/2,y+1/2,z'
'-x+1/2,-y+1/2,-z'
'-x+1/2,y+1/2,-z'
'x+1/2,-y+1/2,z'
loop_
_atom_site_label
_atom_site_type_symbol
_atom_site_fract_x
_atom_site_fract_y
_atom_site_fract_z
Pm1 Pm 0.234 0.000 0.323
Pr1 Pr 0.000 0.000 0.500
Pr2 Pr 0.140 0.500 0.561
Pr3 Pr 0.171 0.500 0.997
Bi1 Bi 0.049 0.500 0.817
Bi2 Bi 0.100 0.000 0.249
```

Output
ρ   7.8 g/cm3
Calculated formation energy   -0.2248 eV per atom

---

Entry 7:
The following is a DFT calculation (PBE) of a geometry-optimized La2CoSe structure.

Cell and atoms, written as CIF:
```
data_La2CoSe
_chemical_formula_sum 'La6 Co3 Se3'
_cell_length_a 4.0764
_cell_length_b 4.0764
_cell_length_c 22.3486
_cell_angle_alpha 90.00
_cell_angle_beta 90.00
_cell_angle_gamma 120.00
_space_group_name_H-M_alt 'R 3 m'
_space_group_IT_number 160
_space_group_name_Hall 'R 3 -2"'
loop_
_atom_site_label
_atom_site_type_symbol
_atom_site_fract_x
_atom_site_fract_y
_atom_site_fract_z
La1 La 0.0000 0.0000 0.0000
La2 La 0.0000 0.0000 0.1877
Co1 Co 0.0000 0.0000 0.5947
Se1 Se 0.0000 0.0000 0.4271
```

Output
ρ   6.4 g/cm3
Total energy   -5.9787 eV per atom

---

Entry 8:
The following is a DFT calculation (PBE) of a geometry-optimized BaFe2GeN2 structure.

Cell and atoms, written as CIF:
```
data_BaFe2GeN2
_chemical_formula_sum 'Ba2 Fe4 Ge2 N4'
_cell_length_a 6.467
_cell_length_b 4.916
_cell_length_c 7.463
_cell_angle_alpha 90.00
_cell_angle_beta 111.58
_cell_angle_gamma 90.00
_space_group_name_H-M_alt 'P 1 21/m 1'
_space_group_IT_number 11
loop_
_space_group_symop_operation_xyz
'x,y,z'
'-x,-y,-z'
'-x,y+1/2,-z'
'x,-y+1/2,z'
loop_
_atom_site_label
_atom_site_type_symbol
_atom_site_fract_x
_atom_site_fract_y
_atom_site_fract_z
Ba1 Ba 0.182 0.250 0.347
Fe1 Fe 0.363 0.000 0.809
Ge1 Ge 0.297 0.750 0.059
N1 N 0.163 0.250 0.723
N2 N 0.382 0.750 0.651
```

Output
ρ   5.3 g/cm3
Total energy   -7.0507 eV per atom

---

Entry 9:
The following is a DFT calculation (PBE) of a geometry-optimized LiDy2AlGa6 structure.

Cell and atoms, written as CIF:
```
data_LiDy2AlGa6
_chemical_formula_sum 'Li1 Dy2 Al1 Ga6'
_cell_length_a 5.350
_cell_length_b 6.474
_cell_length_c 6.653
_cell_angle_alpha 73.90
_cell_angle_beta 69.18
_cell_angle_gamma 67.85
_space_group_name_H-M_alt 'P -1'
_space_group_IT_number 2
loop_
_space_group_symop_operation_xyz
'x,y,z'
'-x,-y,-z'
loop_
_atom_site_label
_atom_site_type_symbol
_atom_site_fract_x
_atom_site_fract_y
_atom_site_fract_z
Li1 Li 0.000 0.000 0.000
Dy1 Dy 0.492 0.245 0.743
Al1 Al 0.000 0.500 0.500
Ga1 Ga 0.007 0.320 0.177
Ga2 Ga 0.138 0.067 0.590
Ga3 Ga 0.494 0.721 0.786
```

Output
ρ   6.6 g/cm3
Calculated formation energy   -0.3344 eV per atom

---

Entry 10:
The following is a DFT calculation (PBE) of a geometry-optimized TlCd2W structure.

Cell and atoms, written as CIF:
```
data_TlCd2W
_chemical_formula_sum 'Tl1 Cd2 W1'
_cell_length_a 5.451
_cell_length_b 5.451
_cell_length_c 2.882
_cell_angle_alpha 90.00
_cell_angle_beta 90.00
_cell_angle_gamma 90.00
_space_group_name_H-M_alt 'P 4/m m m'
_space_group_IT_number 123
_space_group_name_Hall '-P 4 2'
loop_
_atom_site_label
_atom_site_type_symbol
_atom_site_fract_x
_atom_site_fract_y
_atom_site_fract_z
Tl1 Tl 0.000 0.000 0.000
Cd1 Cd 0.000 0.500 0.500
W1 W 0.500 0.500 0.000
```

Output
ρ   11.9 g/cm3
Calculated formation energy   0.7462 eV per atom

---

Entry 11:
The following is a DFT calculation (PBE) of a geometry-optimized NpCd4Pt15 structure.

Cell and atoms, written as CIF:
```
data_NpCd4Pt15
_chemical_formula_sum 'Np1 Cd4 Pt15'
_cell_length_a 4.067
_cell_length_b 4.067
_cell_length_c 20.222
_cell_angle_alpha 90.00
_cell_angle_beta 90.00
_cell_angle_gamma 90.00
_space_group_name_H-M_alt 'P 4/m m m'
_space_group_IT_number 123
_space_group_name_Hall '-P 4 2'
loop_
_atom_site_label
_atom_site_type_symbol
_atom_site_fract_x
_atom_site_fract_y
_atom_site_fract_z
Np1 Np 0.000 0.000 0.000
Cd1 Cd 0.000 0.000 0.203
Cd2 Cd 0.000 0.000 0.401
Pt1 Pt 0.000 0.500 0.099
Pt2 Pt 0.000 0.500 0.302
Pt3 Pt 0.000 0.500 0.500
Pt4 Pt 0.500 0.500 0.000
Pt5 Pt 0.500 0.500 0.202
Pt6 Pt 0.500 0.500 0.401
```

Output
ρ   17.9 g/cm3
Calculated formation energy   -0.2584 eV per atom

---

Entry 12:
The following is a DFT calculation (PBE) of a geometry-optimized Th2PaAu structure.

Cell and atoms, written as CIF:
```
data_Th2PaAu
_chemical_formula_sum 'Th2 Pa1 Au1'
_cell_length_a 3.828
_cell_length_b 3.828
_cell_length_c 7.335
_cell_angle_alpha 90.00
_cell_angle_beta 90.00
_cell_angle_gamma 90.00
_space_group_name_H-M_alt 'P 4/m m m'
_space_group_IT_number 123
_space_group_name_Hall '-P 4 2'
loop_
_atom_site_label
_atom_site_type_symbol
_atom_site_fract_x
_atom_site_fract_y
_atom_site_fract_z
Th1 Th 0.000 0.000 0.242
Pa1 Pa 0.500 0.500 0.500
Au1 Au 0.500 0.500 0.000
```

Output
ρ   13.8 g/cm3
Calculated formation energy   -0.1494 eV per atom

---

Q: ρ of number 9 (LiDy2AlGa6)?
A: 6.6 g/cm3

---

Repeat the eighth record exactly.
The following is a DFT calculation (PBE) of a geometry-optimized BaFe2GeN2 structure.

Cell and atoms, written as CIF:
```
data_BaFe2GeN2
_chemical_formula_sum 'Ba2 Fe4 Ge2 N4'
_cell_length_a 6.467
_cell_length_b 4.916
_cell_length_c 7.463
_cell_angle_alpha 90.00
_cell_angle_beta 111.58
_cell_angle_gamma 90.00
_space_group_name_H-M_alt 'P 1 21/m 1'
_space_group_IT_number 11
loop_
_space_group_symop_operation_xyz
'x,y,z'
'-x,-y,-z'
'-x,y+1/2,-z'
'x,-y+1/2,z'
loop_
_atom_site_label
_atom_site_type_symbol
_atom_site_fract_x
_atom_site_fract_y
_atom_site_fract_z
Ba1 Ba 0.182 0.250 0.347
Fe1 Fe 0.363 0.000 0.809
Ge1 Ge 0.297 0.750 0.059
N1 N 0.163 0.250 0.723
N2 N 0.382 0.750 0.651
```

Output
ρ   5.3 g/cm3
Total energy   -7.0507 eV per atom